--- one ---
# Tb5Al (PBE-GGA, relaxed)
# Crystal system = monoclinic
# N(E_F) = 1.19 states/eV/atom
# Total moment = 0.00 μB/f.u.
data_Tb5Al
_chemical_formula_sum 'Tb10 Al2'
_cell_length_a 12.218
_cell_length_b 3.711
_cell_length_c 8.498
_cell_angle_alpha 90.00
_cell_angle_beta 112.55
_cell_angle_gamma 90.00
_space_group_name_H-M_alt 'C 1 2/m 1'
_space_group_IT_number 12
loop_
_space_group_symop_operation_xyz
'x,y,z'
'-x,-y,-z'
'-x,y,-z'
'x,-y,z'
'x+1/2,y+1/2,z'
'-x+1/2,-y+1/2,-z'
'-x+1/2,y+1/2,-z'
'x+1/2,-y+1/2,z'
loop_
_atom_site_label
_atom_site_type_symbol
_atom_site_fract_x
_atom_site_fract_y
_atom_site_fract_z
Tb1 Tb 0.000 0.000 0.000
Tb2 Tb 0.143 0.500 0.359
Tb3 Tb 0.165 0.500 0.798
Al1 Al 0.000 0.000 0.500



--- two ---
# Tb5Al (PBE-GGA, relaxed)
# Crystal system = orthorhombic
# N(E_F) = 1.29 states/eV/atom
# Total moment = 0.00 μB/f.u.
data_Tb5Al
_chemical_formula_sum 'Tb10 Al2'
_cell_length_a 4.812
_cell_length_b 14.936
_cell_length_c 4.829
_cell_angle_alpha 90.00
_cell_angle_beta 90.00
_cell_angle_gamma 90.00
_space_group_name_H-M_alt 'C m m m'
_space_group_IT_number 65
_space_group_name_Hall '-C 2 2'
loop_
_atom_site_label
_atom_site_type_symbol
_atom_site_fract_x
_atom_site_fract_y
_atom_site_fract_z
Tb1 Tb 0.000 0.000 0.000
Tb2 Tb 0.000 0.159 0.500
Tb3 Tb 0.000 0.336 0.000
Al1 Al 0.000 0.500 0.500



Name the most stable of them. one.



--- one ---
# Tb5Al3 (PBE-GGA, relaxed)
# Crystal system = tetragonal
# N(E_F) = 1.05 states/eV/atom
# Total moment = 0.00 μB/f.u.
data_Tb5Al3
_chemical_formula_sum 'Tb20 Al12'
_cell_length_a 12.072
_cell_length_b 12.072
_cell_length_c 5.804
_cell_angle_alpha 90.00
_cell_angle_beta 90.00
_cell_angle_gamma 90.00
_space_group_name_H-M_alt 'I 4/m c m'
_space_group_IT_number 140
_space_group_name_Hall '-I 4 2c'
loop_
_atom_site_label
_atom_site_type_symbol
_atom_site_fract_x
_atom_site_fract_y
_atom_site_fract_z
Tb1 Tb 0.000 0.500 0.250
Tb2 Tb 0.084 0.218 0.000
Al1 Al 0.000 0.000 0.250
Al2 Al 0.161 0.339 0.500



--- two ---
# Tb5Al3 (PBE-GGA, relaxed)
# Crystal system = tetragonal
# N(E_F) = 0.91 states/eV/atom
# Total moment = 0.00 μB/f.u.
data_Tb5Al3
_chemical_formula_sum 'Tb20 Al12'
_cell_length_a 7.793
_cell_length_b 7.793
_cell_length_c 14.355
_cell_angle_alpha 90.00
_cell_angle_beta 90.00
_cell_angle_gamma 90.00
_space_group_name_H-M_alt 'I 4/m c m'
_space_group_IT_number 140
_space_group_name_Hall '-I 4 2c'
loop_
_atom_site_label
_atom_site_type_symbol
_atom_site_fract_x
_atom_site_fract_y
_atom_site_fract_z
Tb1 Tb 0.000 0.000 0.000
Tb2 Tb 0.171 0.329 0.149
Al1 Al 0.000 0.000 0.250
Al2 Al 0.120 0.380 0.500



Name the most stable of them. one.



--- one ---
# TbAlTc (PBE-GGA, relaxed)
# Crystal system = tetragonal
# N(E_F) = 0.95 states/eV/atom
# Total moment = 0.00 μB/f.u.
data_TbAlTc
_chemical_formula_sum 'Tb2 Al2 Tc2'
_cell_length_a 3.435
_cell_length_b 3.435
_cell_length_c 9.905
_cell_angle_alpha 90.00
_cell_angle_beta 90.00
_cell_angle_gamma 90.00
_space_group_name_H-M_alt 'I 4 m m'
_space_group_IT_number 107
_space_group_name_Hall 'I 4 -2'
loop_
_atom_site_label
_atom_site_type_symbol
_atom_site_fract_x
_atom_site_fract_y
_atom_site_fract_z
Tb1 Tb 0.000 0.000 0.000
Al1 Al 0.000 0.000 0.291
Tc1 Tc 0.000 0.000 0.691



--- two ---
# TbAlTc (PBE-GGA, relaxed)
# Crystal system = tetragonal
# N(E_F) = 0.56 states/eV/atom
# Total moment = 0.00 μB/f.u.
data_TbAlTc
_chemical_formula_sum 'Tb4 Al4 Tc4'
_cell_length_a 7.218
_cell_length_b 7.218
_cell_length_c 5.431
_cell_angle_alpha 90.00
_cell_angle_beta 90.00
_cell_angle_gamma 90.00
_space_group_name_H-M_alt 'P 41 21 2'
_space_group_IT_number 92
loop_
_space_group_symop_operation_xyz
'x,y,z'
'-y+1/2,x+1/2,z+1/4'
'-x,-y,z+1/2'
'y+1/2,-x+1/2,z+3/4'
'x+1/2,-y+1/2,-z+3/4'
'-y,-x,-z+1/2'
'-x+1/2,y+1/2,-z+1/4'
'y,x,-z'
loop_
_atom_site_label
_atom_site_type_symbol
_atom_site_fract_x
_atom_site_fract_y
_atom_site_fract_z
Tb1 Tb 0.226 0.226 0.000
Al1 Al 0.068 0.068 0.500
Tc1 Tc 0.187 0.813 0.750



--- three ---
# TbAlTc (PBE-GGA, relaxed)
# Crystal system = orthorhombic
# N(E_F) = 0.68 states/eV/atom
# Total moment = 0.00 μB/f.u.
data_TbAlTc
_chemical_formula_sum 'Tb4 Al4 Tc4'
_cell_length_a 5.381
_cell_length_b 5.626
_cell_length_c 7.554
_cell_angle_alpha 90.00
_cell_angle_beta 90.00
_cell_angle_gamma 90.00
_space_group_name_H-M_alt 'I m m a'
_space_group_IT_number 74
_space_group_name_Hall '-I 2b 2'
loop_
_atom_site_label
_atom_site_type_symbol
_atom_site_fract_x
_atom_site_fract_y
_atom_site_fract_z
Tb1 Tb 0.000 0.250 0.116
Al1 Al 0.000 0.000 0.500
Tc1 Tc 0.250 0.250 0.750



--- four ---
# TbAlTc (PBE-GGA, relaxed)
# Crystal system = hexagonal
# N(E_F) = 0.41 states/eV/atom
# Total moment = 0.00 μB/f.u.
data_TbAlTc
_chemical_formula_sum 'Tb1 Al1 Tc1'
_cell_length_a 4.3636
_cell_length_b 4.3636
_cell_length_c 3.7237
_cell_angle_alpha 90.00
_cell_angle_beta 90.00
_cell_angle_gamma 120.00
_space_group_name_H-M_alt 'P -6 m 2'
_space_group_IT_number 187
_space_group_name_Hall 'P -6 2'
loop_
_atom_site_label
_atom_site_type_symbol
_atom_site_fract_x
_atom_site_fract_y
_atom_site_fract_z
Tb1 Tb 0.0000 0.0000 0.0000
Al1 Al 0.3333 0.6667 0.5000
Tc1 Tc 0.6667 0.3333 0.5000



Name the most stable of them. three.



--- one ---
# Tb3ThAl8 (PBE-GGA, relaxed)
# Crystal system = trigonal
# N(E_F) = 0.80 states/eV/atom
# Total moment = 0.00 μB/f.u.
data_Tb3ThAl8
_chemical_formula_sum 'Tb9 Th3 Al24'
_cell_length_a 5.6122
_cell_length_b 5.6122
_cell_length_c 27.4665
_cell_angle_alpha 90.00
_cell_angle_beta 90.00
_cell_angle_gamma 120.00
_space_group_name_H-M_alt 'R 3 m'
_space_group_IT_number 160
_space_group_name_Hall 'R 3 -2"'
loop_
_atom_site_label
_atom_site_type_symbol
_atom_site_fract_x
_atom_site_fract_y
_atom_site_fract_z
Tb1 Tb 0.0000 0.0000 0.0000
Tb2 Tb 0.0000 0.0000 0.1248
Tb3 Tb 0.0000 0.0000 0.6258
Th1 Th 0.0000 0.0000 0.5002
Al1 Al 0.0000 0.0000 0.3132
Al2 Al 0.0000 0.0000 0.8122
Al3 Al 0.9999 0.5000 0.0620
Al4 Al 0.0006 0.5003 0.5633



--- two ---
# Tb3ThAl8 (PBE-GGA, relaxed)
# Crystal system = trigonal
# N(E_F) = 0.68 states/eV/atom
# Total moment = 0.00 μB/f.u.
data_Tb3ThAl8
_chemical_formula_sum 'Tb3 Th1 Al8'
_cell_length_a 5.5820
_cell_length_b 5.5820
_cell_length_c 9.2670
_cell_angle_alpha 90.00
_cell_angle_beta 90.00
_cell_angle_gamma 120.00
_space_group_name_H-M_alt 'P 3 m 1'
_space_group_IT_number 156
loop_
_space_group_symop_operation_xyz
'x,y,z'
'-y,x-y,z'
'-x+y,-x,z'
'-y,-x,z'
'-x+y,y,z'
'x,x-y,z'
loop_
_atom_site_label
_atom_site_type_symbol
_atom_site_fract_x
_atom_site_fract_y
_atom_site_fract_z
Tb1 Tb 0.0000 0.0000 0.0000
Tb2 Tb 0.0000 0.0000 0.3650
Tb3 Tb 0.3333 0.6667 0.8660
Th1 Th 0.3333 0.6667 0.5007
Al1 Al 0.0079 0.5039 0.1822
Al2 Al 0.3260 0.1630 0.6862
Al3 Al 0.6667 0.3333 0.4311
Al4 Al 0.6667 0.3333 0.9371



Name the most stable of them. one.



--- one ---
# TbThAl2 (PBE-GGA, relaxed)
# Crystal system = tetragonal
# N(E_F) = 0.67 states/eV/atom
# Total moment = 0.00 μB/f.u.
data_TbThAl2
_chemical_formula_sum 'Tb1 Th1 Al2'
_cell_length_a 3.442
_cell_length_b 3.442
_cell_length_c 8.302
_cell_angle_alpha 90.00
_cell_angle_beta 90.00
_cell_angle_gamma 90.00
_space_group_name_H-M_alt 'P 4/m m m'
_space_group_IT_number 123
_space_group_name_Hall '-P 4 2'
loop_
_atom_site_label
_atom_site_type_symbol
_atom_site_fract_x
_atom_site_fract_y
_atom_site_fract_z
Tb1 Tb 0.000 0.000 0.000
Th1 Th 0.000 0.000 0.500
Al1 Al 0.500 0.500 0.241



--- two ---
# TbThAl2 (PBE-GGA, relaxed)
# Crystal system = trigonal
# N(E_F) = 1.05 states/eV/atom
# Total moment = 0.00 μB/f.u.
data_TbThAl2
_chemical_formula_sum 'Tb3 Th3 Al6'
_cell_length_a 3.6466
_cell_length_b 3.6466
_cell_length_c 27.8475
_cell_angle_alpha 90.00
_cell_angle_beta 90.00
_cell_angle_gamma 120.00
_space_group_name_H-M_alt 'R -3 m'
_space_group_IT_number 166
_space_group_name_Hall '-R 3 2"'
loop_
_atom_site_label
_atom_site_type_symbol
_atom_site_fract_x
_atom_site_fract_y
_atom_site_fract_z
Tb1 Tb 0.0000 0.0000 0.0000
Th1 Th 0.0000 0.0000 0.5000
Al1 Al 0.0000 0.0000 0.2520



Name the most stable of them. one.